Here is Ta4CdGaN2 after structural relaxation from OQMD via LeMat-Bulk. Energies are from GGA-PBE.

The structure in extended XYZ format:
```
8
Lattice="3.078 0.000 0.000 -1.539 2.666 0.000 0.000 0.000 14.274" Properties=species:S:1:pos:R:3 pbc="T T T"
Ta 0.000 0.000 2.178
Ta 0.000 0.000 12.096
Ta 1.539 0.889 4.670
Ta 1.539 0.889 9.604
Cd 0.000 0.000 7.137
Ga 1.539 0.889 0.000
N 0.000 1.777 3.444
N 0.000 1.777 10.830
```

Properties
DFT total energy ... -8.988 eV/atom

Here is LuCuNiAs after structural relaxation from OQMD via LeMat-Bulk. Energies are from GGA-PBE.

The structure in extended XYZ format:
```
4
Lattice="0.000 3.179 3.179 3.179 0.000 3.179 3.179 3.179 0.000" Properties=species:S:1:pos:R:3 pbc="T T T"
Lu 0.000 0.000 0.000
Cu 3.179 3.179 3.179
Ni 4.768 4.768 4.768
As 1.589 1.589 1.589
```

Properties
DFT total energy ... -4.898 eV/atom

Here is HfSi2Mo after structural relaxation from OQMD via LeMat-Bulk. Energies are from GGA-PBE.

The structure in extended XYZ format:
```
4
Lattice="0.000 3.155 3.155 3.155 0.000 3.155 3.155 3.155 0.000" Properties=species:S:1:pos:R:3 pbc="T T T"
Hf 0.000 0.000 0.000
Si 3.155 3.155 3.155
Si 4.732 4.732 4.732
Mo 1.577 1.577 1.577
```

Properties
DFT total energy ... -7.820 eV/atom

Here is NaZnPd2 after structural relaxation from OQMD via LeMat-Bulk. Energies are from GGA-PBE.

The structure in extended XYZ format:
```
4
Lattice="0.000 3.197 3.197 3.197 0.000 3.197 3.197 3.197 0.000" Properties=species:S:1:pos:R:3 pbc="T T T"
Na 0.000 0.000 0.000
Zn 4.796 4.796 4.796
Pd 1.599 1.599 1.599
Pd 3.197 3.197 3.197
```

Properties
DFT total energy ... -3.389 eV/atom

Here is Dy2HoAl7Cu2 after structural relaxation from OQMD via LeMat-Bulk. Energies are from GGA-PBE.

The structure in extended XYZ format:
```
12
Lattice="2.739 1.581 8.472 -2.739 1.581 8.472 0.000 -3.163 8.472" Properties=species:S:1:pos:R:3 pbc="T T T"
Dy 0.000 0.000 3.608
Dy 0.000 0.000 21.809
Ho 0.000 0.000 0.000
Al -1.395 -0.806 10.472
Al 0.000 -1.611 14.945
Al -1.395 0.806 14.945
Al 0.000 0.000 12.708
Al 1.395 -0.806 10.472
Al 0.000 1.611 10.472
Al 1.395 0.806 14.945
Cu 0.000 0.000 8.523
Cu 0.000 0.000 16.894
```

Properties
DFT total energy ... -4.436 eV/atom

Here is Hf8Au2C3N3 after structural relaxation from OQMD via LeMat-Bulk. Energies are from GGA-PBE.

The structure in extended XYZ format:
```
16
Lattice="3.258 0.000 0.000 -1.629 2.821 0.000 0.000 0.000 24.603" Properties=species:S:1:pos:R:3 pbc="T T T"
Hf 0.000 0.000 3.849
Hf 0.000 0.000 8.357
Hf 0.000 0.000 16.247
Hf 0.000 0.000 20.755
Hf 0.000 1.881 13.611
Hf 0.000 1.881 23.273
Hf 1.629 0.940 1.331
Hf 1.629 0.940 10.992
Au 0.000 1.881 18.517
Au 1.629 0.940 6.086
C 0.000 0.000 12.302
C 0.000 1.881 9.559
C 1.629 0.940 15.044
N 0.000 0.000 0.000
N 0.000 1.881 2.584
N 1.629 0.940 22.020
```

Properties
DFT total energy ... -9.814 eV/atom

Here is PrIrPb after structural relaxation from OQMD via LeMat-Bulk. Energies are from GGA-PBE.

The structure in extended XYZ format:
```
3
Lattice="0.000 3.512 3.512 3.512 0.000 3.512 3.512 3.512 0.000" Properties=species:S:1:pos:R:3 pbc="T T T"
Pr 0.000 0.000 0.000
Ir 5.269 5.269 5.269
Pb 1.756 1.756 1.756
```

Properties
DFT total energy ... -5.412 eV/atom

Here is Ag2Hg7As4I6 after structural relaxation from OQMD via LeMat-Bulk. Energies are from GGA-PBE.

The structure in extended XYZ format:
```
76
Lattice="13.523 0.000 0.000 0.000 13.523 0.000 0.000 0.000 13.523" Properties=species:S:1:pos:R:3 pbc="T T T"
Ag 2.946 2.946 2.946
Ag 2.946 3.816 9.707
Ag 3.816 9.707 2.946
Ag 3.816 10.578 9.707
Ag 9.707 2.946 3.816
Ag 9.707 3.816 10.578
Ag 10.578 9.707 3.816
Ag 10.578 10.578 10.578
Hg 0.000 0.000 6.762
Hg 0.000 6.762 0.000
Hg 0.725 9.598 5.641
Hg 0.725 10.687 12.403
Hg 1.121 7.486 9.598
Hg 1.121 12.799 2.836
Hg 2.836 1.121 12.799
Hg 2.836 5.641 6.037
Hg 3.926 7.882 12.799
Hg 3.926 12.403 6.037
Hg 5.641 0.725 9.598
Hg 5.641 6.037 2.836
Hg 6.037 2.836 5.641
Hg 6.037 3.926 12.403
Hg 6.762 0.000 0.000
Hg 6.762 6.762 6.762
Hg 7.486 9.598 1.121
Hg 7.486 10.687 7.882
Hg 7.882 7.486 10.687
Hg 7.882 12.799 3.926
Hg 9.598 1.121 7.486
Hg 9.598 5.641 0.725
Hg 10.687 7.882 7.486
Hg 10.687 12.403 0.725
Hg 12.403 0.725 10.687
Hg 12.403 6.037 3.926
Hg 12.799 2.836 1.121
Hg 12.799 3.926 7.882
As 0.708 0.708 0.708
As 0.708 6.053 7.470
As 1.487 8.249 12.036
As 1.487 12.036 5.275
As 5.275 1.487 12.036
As 5.275 5.275 5.275
As 6.053 7.470 0.708
As 6.053 12.815 7.470
As 7.470 0.708 6.053
As 7.470 6.053 12.815
As 8.249 8.249 8.249
As 8.249 12.036 1.487
As 12.036 1.487 8.249
As 12.036 5.275 1.487
As 12.815 7.470 6.053
As 12.815 12.815 12.815
I 0.758 3.357 11.314
I 0.758 3.405 4.553
I 2.209 7.520 3.405
I 2.209 12.765 10.167
I 3.357 8.971 7.520
I 3.357 11.314 0.758
I 3.405 2.209 7.520
I 3.405 4.553 0.758
I 4.553 0.758 3.405
I 4.553 6.003 10.167
I 6.003 10.118 11.314
I 6.003 10.167 4.553
I 7.520 3.357 8.971
I 7.520 3.405 2.209
I 8.971 7.520 3.357
I 8.971 12.765 10.118
I 10.118 8.971 12.765
I 10.118 11.314 6.003
I 10.167 2.209 12.765
I 10.167 4.553 6.003
I 11.314 0.758 3.357
I 11.314 6.003 10.118
I 12.765 10.118 8.971
I 12.765 10.167 2.209
```

Properties
DFT total energy ... -2.040 eV/atom

Here is RbTbHgS3 after structural relaxation from OQMD via LeMat-Bulk. Energies are from GGA-PBE.

The structure in extended XYZ format:
```
12
Lattice="8.847 -2.053 0.000 8.847 2.053 0.000 -1.969 0.000 8.849" Properties=species:S:1:pos:R:3 pbc="T T T"
Rb 2.447 0.000 0.604
Rb 13.278 0.000 8.246
Tb 1.857 0.000 5.080
Tb 13.868 0.000 3.769
Hg 8.056 0.000 2.420
Hg 7.669 0.000 6.430
S -0.985 0.000 4.425
S 4.560 0.000 5.560
S 5.480 0.000 1.991
S 8.847 0.000 0.000
S 10.246 0.000 6.858
S 11.166 0.000 3.289
```

Properties
DFT total energy ... -4.227 eV/atom

Here is Gd2HoIn3Ni3 after structural relaxation from OQMD via LeMat-Bulk. Energies are from GGA-PBE.

The structure in extended XYZ format:
```
9
Lattice="3.820 0.000 0.000 0.000 6.450 3.722 0.000 -6.450 3.722" Properties=species:S:1:pos:R:3 pbc="T T T"
Gd 0.000 -3.800 3.722
Gd 0.000 3.800 3.722
Ho 0.000 0.000 2.861
In 1.910 0.000 0.369
In 1.910 -1.628 4.964
In 1.910 1.628 4.964
Ni 0.000 0.000 5.908
Ni 1.910 -2.138 2.195
Ni 1.910 2.138 2.195
```

Properties
DFT total energy ... -4.819 eV/atom

Here is Zn2HO4 after structural relaxation from OQMD via LeMat-Bulk. Energies are from GGA-PBE.

The structure in extended XYZ format:
```
14
Lattice="5.285 0.000 0.000 -2.401 5.479 0.000 -1.295 -2.498 5.529" Properties=species:S:1:pos:R:3 pbc="T T T"
Zn 0.000 0.000 0.000
Zn -1.830 0.374 4.235
Zn 0.404 -1.352 3.192
Zn 2.344 2.344 0.399
H -0.574 2.364 3.373
H 1.164 3.297 2.448
O -0.896 1.548 2.841
O -0.474 -0.815 4.846
O 0.892 0.073 1.830
O 0.727 1.272 2.407
O 2.226 -1.646 3.883
O 2.101 -1.864 5.382
O 1.973 3.496 1.942
O 2.002 1.239 4.948
```

Properties
DFT total energy ... -4.417 eV/atom

Here is Co15Sb after structural relaxation from OQMD via LeMat-Bulk. Energies are from GGA-PBE.

The structure in extended XYZ format:
```
32
Lattice="6.861 0.000 0.000 0.000 2.551 0.000 0.000 0.000 33.437" Properties=species:S:1:pos:R:3 pbc="T T T"
Co 0.807 0.638 8.694
Co 0.859 0.638 13.637
Co 0.858 0.638 16.099
Co 0.858 0.638 18.569
Co 0.857 0.638 21.023
Co 0.857 0.638 23.510
Co 0.857 0.638 25.908
Co 0.869 0.638 11.163
Co 2.522 1.913 24.742
Co 2.572 1.913 9.935
Co 2.572 1.913 12.385
Co 2.573 1.913 14.873
Co 2.573 1.913 17.333
Co 2.574 1.913 19.802
Co 2.584 1.913 22.273
Co 4.276 0.638 11.164
Co 4.286 0.638 13.634
Co 4.287 0.638 16.104
Co 4.287 0.638 18.564
Co 4.288 0.638 21.052
Co 4.288 0.638 23.501
Co 4.338 0.638 8.694
Co 5.991 1.913 22.273
Co 6.003 1.913 7.529
Co 6.003 1.913 9.927
Co 6.003 1.913 12.413
Co 6.002 1.913 14.867
Co 6.002 1.913 17.338
Co 6.001 1.913 19.800
Co 6.053 1.913 24.742
Sb 2.573 1.913 7.087
Sb 4.287 0.638 26.350
```

Properties
DFT total energy ... -6.756 eV/atom

Here is CdFe2Cl8 after structural relaxation from OQMD via LeMat-Bulk. Energies are from GGA-PBE.

The structure in extended XYZ format:
```
11
Lattice="6.081 -4.317 0.000 6.081 4.317 0.000 -0.639 0.000 6.111" Properties=species:S:1:pos:R:3 pbc="T T T"
Cd 0.000 0.000 0.000
Fe 1.932 0.000 3.898
Fe 9.590 0.000 2.213
Cl 4.707 2.577 1.468
Cl 2.066 0.000 1.675
Cl 6.815 2.577 4.643
Cl 3.936 0.000 4.646
Cl 7.587 0.000 1.465
Cl 4.707 -2.577 1.468
Cl 9.457 0.000 4.436
Cl 6.815 -2.577 4.643
```

Properties
DFT total energy ... -3.763 eV/atom

Here is Te3WSeI after structural relaxation from OQMD via LeMat-Bulk. Energies are from GGA-PBE.

The structure in extended XYZ format:
```
12
Lattice="6.775 0.000 0.000 2.165 8.427 0.000 3.387 3.611 7.384" Properties=species:S:1:pos:R:3 pbc="T T T"
Te 1.699 3.153 2.027
Te 7.247 10.452 6.000
Te 5.073 4.009 2.930
Te 7.254 8.028 4.454
Te 5.080 1.586 1.385
Te 10.629 8.885 5.357
W 5.741 10.227 3.694
W 6.587 1.811 3.690
Se 3.856 8.460 2.844
Se 8.472 3.577 4.540
I 5.072 5.138 6.525
I 7.255 6.899 0.859
```

Properties
DFT total energy ... -4.707 eV/atom

Here is Y2ZnIr after structural relaxation from OQMD via LeMat-Bulk. Energies are from GGA-PBE.

The structure in extended XYZ format:
```
8
Lattice="4.385 0.000 0.000 -2.193 3.798 0.000 0.000 0.000 11.576" Properties=species:S:1:pos:R:3 pbc="T T T"
Y 0.000 2.532 1.264
Y 0.000 2.532 4.525
Y 2.193 1.266 7.052
Y 2.193 1.266 10.313
Zn 0.000 0.000 2.894
Zn 0.000 0.000 8.682
Ir 0.000 2.532 8.682
Ir 2.193 1.266 2.894
```

Properties
Energy of formation from the pure elements ... -0.45 eV per atom

Here is Ho3Er2Mg3 after structural relaxation from OQMD via LeMat-Bulk. Energies are from GGA-PBE.

The structure in extended XYZ format:
```
8
Lattice="5.506 0.000 0.000 0.000 3.512 5.849 0.000 -3.512 5.849" Properties=species:S:1:pos:R:3 pbc="T T T"
Ho 0.000 0.000 0.000
Ho 2.753 -1.761 6.689
Ho 2.753 1.761 6.689
Er 0.000 0.000 5.675
Er 2.753 0.000 9.605
Mg 0.000 -1.664 8.653
Mg 0.000 1.664 8.653
Mg 2.753 0.000 3.738
```

Properties
DFT total energy ... -3.398 eV/atom

Here is YMg2Co after structural relaxation from OQMD via LeMat-Bulk. Energies are from GGA-PBE.

The structure in extended XYZ format:
```
4
Lattice="0.000 3.394 3.394 3.394 0.000 3.394 3.394 3.394 0.000" Properties=species:S:1:pos:R:3 pbc="T T T"
Y 0.000 0.000 0.000
Mg 1.697 1.697 1.697
Mg 3.394 3.394 3.394
Co 5.092 5.092 5.092
```

Properties
DFT total energy ... -4.070 eV/atom

Here is Nd3Si2S8I after structural relaxation from OQMD via LeMat-Bulk. Energies are from GGA-PBE.

The structure in extended XYZ format:
```
28
Lattice="7.979 -3.929 0.000 7.979 3.929 0.000 -1.551 0.000 10.753" Properties=species:S:1:pos:R:3 pbc="T T T"
Nd 6.816 3.143 8.065
Nd 4.303 0.968 3.424
Nd 3.527 -0.968 8.801
Nd 10.880 0.968 1.952
Nd 10.105 -0.968 7.329
Nd 7.592 -3.143 2.688
Si 2.501 0.294 0.309
Si 1.725 -0.294 5.686
Si 12.682 0.294 5.067
Si 11.907 -0.294 10.444
S 1.083 0.780 8.997
S 6.188 2.711 4.928
S 4.346 1.993 9.167
S 3.595 0.546 6.301
S 8.995 2.711 0.448
S 1.859 -0.780 3.621
S 4.370 -0.546 0.924
S 9.286 1.993 6.963
S 5.122 -1.993 3.790
S 10.037 0.546 9.829
S 12.549 0.780 7.132
S 5.412 -2.711 10.305
S 10.813 -0.546 4.452
S 10.061 -1.993 1.586
S 8.220 -2.711 5.825
S 13.324 -0.780 1.756
I 7.592 0.108 2.688
I 6.816 -0.108 8.065
```

Properties
DFT total energy ... -5.712 eV/atom

Here is NdBe after structural relaxation from OQMD via LeMat-Bulk. Energies are from GGA-PBE.

The structure in extended XYZ format:
```
2
Lattice="0.000 2.953 2.953 2.953 0.000 2.953 2.953 2.953 0.000" Properties=species:S:1:pos:R:3 pbc="T T T"
Nd 0.000 0.000 0.000
Be 2.953 2.953 2.953
```

Properties
DFT total energy ... -3.648 eV/atom